(1)
Cs2HgBr: relaxed, GGA-PBE.

The structure in CIF format:
```
data_Cs2HgBr
_chemical_formula_sum 'Cs8 Hg4 Br4'
_cell_length_a 5.2569
_cell_length_b 30.3922
_cell_length_c 5.3158
_cell_angle_alpha 90.00
_cell_angle_beta 90.00
_cell_angle_gamma 90.00
_space_group_name_H-M_alt 'C m c m'
_space_group_IT_number 63
_space_group_name_Hall '-C 2c 2'
loop_
_atom_site_label
_atom_site_type_symbol
_atom_site_fract_x
_atom_site_fract_y
_atom_site_fract_z
Cs1 Cs 0.0000 0.0699 0.2500
Cs2 Cs 0.0000 0.3112 0.2500
Hg1 Hg 0.0000 0.4742 0.2500
Br1 Br 0.0000 0.1916 0.2500
```

Computed properties:
For the energy above the lowest structure with this stoichiometry, the calculation gives 0.0 kJ per mole of atoms. For the energy relative to the elements, uncorrected, the calculation gives -0.99 eV/atom. As for the density of states at the Fermi level: 5.71 states/eV per cell.

***

(2)
Cs4HgBr2: relaxed, GGA-PBE.

The structure in CIF format:
```
data_Cs4HgBr2
_chemical_formula_sum 'Cs8 Hg2 Br4'
_cell_length_a 7.0113
_cell_length_b 7.0113
_cell_length_c 19.0026
_cell_angle_alpha 90.00
_cell_angle_beta 90.00
_cell_angle_gamma 90.00
_space_group_name_H-M_alt 'I 4/m m m'
_space_group_IT_number 139
_space_group_name_Hall '-I 4 2'
loop_
_atom_site_label
_atom_site_type_symbol
_atom_site_fract_x
_atom_site_fract_y
_atom_site_fract_z
Cs1 Cs 0.0000 0.0000 0.2134
Cs2 Cs 0.0000 0.5000 0.0000
Hg1 Hg 0.0000 0.0000 0.0000
Br1 Br 0.0000 0.0000 0.3931
```

Computed properties:
For the energy relative to the elements, uncorrected, the calculation gives -0.86 eV/atom. As for the density of states at the Fermi level: 9.60 states/eV per cell.

***

(3)
Cs6Hg3Br: relaxed, GGA-PBE.

The structure in CIF format:
```
data_Cs6Hg3Br
_chemical_formula_sum 'Cs12 Hg6 Br2'
_cell_length_a 9.2449
_cell_length_b 10.2969
_cell_length_c 16.0450
_cell_angle_alpha 90.00
_cell_angle_beta 122.54
_cell_angle_gamma 90.00
_space_group_name_H-M_alt 'P 1 21/c 1'
_space_group_IT_number 14
loop_
_space_group_symop_operation_xyz
'x,y,z'
'-x,-y,-z'
'-x,y+1/2,-z+1/2'
'x,-y+1/2,z+1/2'
loop_
_atom_site_label
_atom_site_type_symbol
_atom_site_fract_x
_atom_site_fract_y
_atom_site_fract_z
Cs1 Cs 0.0830 0.0412 0.2437
Cs2 Cs 0.2219 0.6840 0.0717
Cs3 Cs 0.3909 0.1690 0.0663
Hg1 Hg 0.3250 0.1288 0.7659
Hg2 Hg 0.5000 0.0000 0.5000
Br1 Br 0.0000 0.0000 0.0000
```

Computed properties:
For the energy relative to the elements, uncorrected, the calculation gives -0.44 eV/atom. As for the density of states at the Fermi level: 20.00 states/eV per cell.

***

(4)
Cs12Hg3Br5: relaxed, GGA-PBE.

The structure in CIF format:
```
data_Cs12Hg3Br5
_chemical_formula_sum 'Cs96 Hg24 Br40'
_cell_length_a 22.3779
_cell_length_b 22.3779
_cell_length_c 22.3779
_cell_angle_alpha 90.00
_cell_angle_beta 90.00
_cell_angle_gamma 90.00
_space_group_name_H-M_alt 'I a -3 d'
_space_group_IT_number 230
_space_group_name_Hall '-I 4bd 2c 3'
loop_
_atom_site_label
_atom_site_type_symbol
_atom_site_fract_x
_atom_site_fract_y
_atom_site_fract_z
Cs1 Cs 0.0232 0.0619 0.6504
Hg1 Hg 0.0000 0.2500 0.1250
Br1 Br 0.0000 0.0000 0.0000
Br2 Br 0.0000 0.2500 0.3750
```

Computed properties:
For the energy relative to the elements, uncorrected, the calculation gives -0.86 eV/atom. As for the density of states at the Fermi level: 146.44 states/eV per cell.

***

(5)
CsHgI2Br: relaxed, GGA-PBE.

The structure in CIF format:
```
data_CsHgI2Br
_chemical_formula_sum 'Cs1 Hg1 I2 Br1'
_cell_length_a 6.0398
_cell_length_b 6.0398
_cell_length_c 5.7673
_cell_angle_alpha 90.00
_cell_angle_beta 90.00
_cell_angle_gamma 90.00
_space_group_name_H-M_alt 'P 4/m m m'
_space_group_IT_number 123
_space_group_name_Hall '-P 4 2'
loop_
_atom_site_label
_atom_site_type_symbol
_atom_site_fract_x
_atom_site_fract_y
_atom_site_fract_z
Cs1 Cs 0.0000 0.0000 0.0000
Hg1 Hg 0.5000 0.5000 0.5000
I1 I 0.0000 0.5000 0.5000
Br1 Br 0.5000 0.5000 0.0000
```

Computed properties:
For the energy above the lowest structure with this stoichiometry, the calculation gives 6.8 kJ per mole of atoms. For the energy relative to the elements, uncorrected, the calculation gives -0.82 eV/atom. As for the density of states at the Fermi level: 1.26 states/eV per cell.

***

(6)
CsHgI2Br: relaxed, GGA-PBE.

The structure in CIF format:
```
data_CsHgI2Br
_chemical_formula_sum 'Cs2 Hg2 I4 Br2'
_cell_length_a 8.3017
_cell_length_b 6.9004
_cell_length_c 9.1762
_cell_angle_alpha 90.00
_cell_angle_beta 104.18
_cell_angle_gamma 90.00
_space_group_name_H-M_alt 'P 1 21/m 1'
_space_group_IT_number 11
loop_
_space_group_symop_operation_xyz
'x,y,z'
'-x,-y,-z'
'-x,y+1/2,-z'
'x,-y+1/2,z'
loop_
_atom_site_label
_atom_site_type_symbol
_atom_site_fract_x
_atom_site_fract_y
_atom_site_fract_z
Cs1 Cs 0.2092 0.2500 0.3315
Hg1 Hg 0.4074 0.2500 0.8390
I1 I 0.0674 0.2500 0.7272
I2 I 0.4096 0.7500 0.8621
Br1 Br 0.4072 0.7500 0.3608
```

Computed properties:
For the energy above the lowest structure with this stoichiometry, the calculation gives 0.0 kJ per mole of atoms. For the energy relative to the elements, uncorrected, the calculation gives -0.89 eV/atom. As for the density of states at the Fermi level: 0.00 states/eV per cell.

***

(7)
Cs2HgI6Br: relaxed, GGA-PBE.

The structure in CIF format:
```
data_Cs2HgI6Br
_chemical_formula_sum 'Cs4 Hg2 I12 Br2'
_cell_length_a 8.9164
_cell_length_b 8.9164
_cell_length_c 12.2735
_cell_angle_alpha 90.00
_cell_angle_beta 90.00
_cell_angle_gamma 90.00
_space_group_name_H-M_alt 'I 4/m m m'
_space_group_IT_number 139
_space_group_name_Hall '-I 4 2'
loop_
_atom_site_label
_atom_site_type_symbol
_atom_site_fract_x
_atom_site_fract_y
_atom_site_fract_z
Cs1 Cs 0.0000 0.5000 0.2500
Hg1 Hg 0.0000 0.0000 0.0000
I1 I 0.0000 0.0000 0.2739
I2 I 0.2270 0.2270 0.0000
Br1 Br 0.0000 0.0000 0.5000
```

Computed properties:
For the energy relative to the elements, uncorrected, the calculation gives -0.64 eV/atom. As for the density of states at the Fermi level: 14.00 states/eV per cell.

***

(8)
Cs4HgI2Br: relaxed, GGA-PBE.

The structure in CIF format:
```
data_Cs4HgI2Br
_chemical_formula_sum 'Cs4 Hg1 I2 Br1'
_cell_length_a 9.4971
_cell_length_b 5.2797
_cell_length_c 9.7299
_cell_angle_alpha 90.00
_cell_angle_beta 107.15
_cell_angle_gamma 90.00
_space_group_name_H-M_alt 'P 1 2/m 1'
_space_group_IT_number 10
loop_
_space_group_symop_operation_xyz
'x,y,z'
'-x,-y,-z'
'-x,y,-z'
'x,-y,z'
loop_
_atom_site_label
_atom_site_type_symbol
_atom_site_fract_x
_atom_site_fract_y
_atom_site_fract_z
Cs1 Cs 0.2387 0.0000 0.2375
Cs2 Cs 0.2505 0.5000 0.7636
Hg1 Hg 0.0000 0.0000 0.5000
I1 I 0.5000 0.0000 0.0000
I2 I 0.5000 0.5000 0.5000
Br1 Br 0.0000 0.5000 0.0000
```

Computed properties:
For the energy relative to the elements, uncorrected, the calculation gives -1.20 eV/atom. As for the density of states at the Fermi level: 4.18 states/eV per cell.

***

(9)
Cs2HgI2Br2: relaxed, GGA-PBE.

The structure in CIF format:
```
data_Cs2HgI2Br2
_chemical_formula_sum 'Cs4 Hg2 I4 Br4'
_cell_length_a 5.8941
_cell_length_b 5.8941
_cell_length_c 18.5225
_cell_angle_alpha 90.00
_cell_angle_beta 90.00
_cell_angle_gamma 90.00
_space_group_name_H-M_alt 'I 4/m m m'
_space_group_IT_number 139
_space_group_name_Hall '-I 4 2'
loop_
_atom_site_label
_atom_site_type_symbol
_atom_site_fract_x
_atom_site_fract_y
_atom_site_fract_z
Cs1 Cs 0.0000 0.0000 0.1276
Hg1 Hg 0.0000 0.0000 0.5000
I1 I 0.0000 0.0000 0.3429
Br1 Br 0.0000 0.5000 0.0000
```

Computed properties:
For the energy relative to the elements, uncorrected, the calculation gives -1.12 eV/atom.

***

(10)
Cs6HgI3Br2: relaxed, GGA-PBE.

The structure in CIF format:
```
data_Cs6HgI3Br2
_chemical_formula_sum 'Cs12 Hg2 I6 Br4'
_cell_length_a 9.5598
_cell_length_b 16.5471
_cell_length_c 9.2887
_cell_angle_alpha 90.00
_cell_angle_beta 109.89
_cell_angle_gamma 90.00
_space_group_name_H-M_alt 'C 1 2/m 1'
_space_group_IT_number 12
loop_
_space_group_symop_operation_xyz
'x,y,z'
'-x,-y,-z'
'-x,y,-z'
'x,-y,z'
'x+1/2,y+1/2,z'
'-x+1/2,-y+1/2,-z'
'-x+1/2,y+1/2,-z'
'x+1/2,-y+1/2,z'
loop_
_atom_site_label
_atom_site_type_symbol
_atom_site_fract_x
_atom_site_fract_y
_atom_site_fract_z
Cs1 Cs 0.2269 0.0000 0.2347
Cs2 Cs 0.2419 0.1767 0.7587
Hg1 Hg 0.0000 0.5000 0.0000
I1 I 0.0000 0.0000 0.5000
I2 I 0.0000 0.3420 0.5000
Br1 Br 0.0000 0.1680 0.0000
```

Computed properties:
For the energy relative to the elements, uncorrected, the calculation gives -1.34 eV/atom. As for the density of states at the Fermi level: 11.67 states/eV per cell.

***

no.,DFT total energy (eV per atom)
1,-1.910
2,-1.865
3,-1.213
4,-1.833
5,-2.005
6,-2.075
7,-1.941
8,-2.260
9,-2.332
10,-2.460